CoAsP2O: PBEsol geometry, meta-GGA SCAN.

Output
The space-group type is P4/mmm (123). Its electronic total energy is -12.7463 eV per atom.

POSCAR file:
```
CoAsP2O
1.0
-2.289 1.720 1.862
-2.706 0.309 -3.612
-1.988 -3.896 1.156
P As Co O
2 1 1 1
Direct
0.000 0.000 0.500 P
0.000 0.500 0.000 P
0.500 0.500 0.500 As
0.000 0.000 0.000 Co
0.500 0.000 0.000 O
```

---

CoSi2Ru: PBEsol geometry, meta-GGA SCAN.

Output
The space-group type is R3m (160). Its electronic total energy is -18.0348 eV per atom.

POSCAR file:
```
CoSi2Ru
1.0
2.774 0.000 0.000
1.387 2.402 0.000
1.387 0.801 7.479
Co Ru Si
1 1 2
Direct
0.493 0.493 0.520 Co
0.253 0.253 0.241 Ru
0.998 0.998 0.005 Si
0.755 0.755 0.735 Si
```

---

YSeBrN2: PBEsol geometry, meta-GGA SCAN.

Output
The space-group type is P4/mmm (123). Its electronic total energy is -16.1946 eV per atom.

POSCAR file:
```
YSeBrN2
1.0
-2.591 -2.915 -1.261
-0.317 -1.382 3.846
-3.758 3.007 0.771
Y Se Br N
1 1 1 2
Direct
0.500 0.500 0.500 Y
0.000 0.000 0.500 Se
0.000 0.000 0.000 Br
0.000 0.500 0.000 N
0.500 0.000 0.000 N
```